# GGA-PBE Y3HgN, optimized geometry
data_Y3HgN
_cell_length_a 12.272
_cell_length_b 12.272
_cell_length_c 12.272
_cell_angle_alpha 155.50
_cell_angle_beta 155.50
_cell_angle_gamma 34.93
_symmetry_space_group_name_H-M 'P 1'
_symmetry_Int_Tables_number 1
loop_
_symmetry_equiv_pos_as_xyz
'x,y,z'
loop_
_atom_site_label
_atom_site_fract_x
_atom_site_fract_y
_atom_site_fract_z
Y1 0.194 0.194 0.000
Y2 0.374 0.136 0.762
Y3 0.374 0.611 0.238
Y4 0.389 0.626 0.762
Y5 0.806 0.806 0.000
Y6 0.864 0.626 0.238
Hg1 0.250 0.750 0.500
Hg2 0.500 0.500 0.000
N1 0.651 0.151 0.500
N2 0.849 0.349 0.500
# * raw formation energy: 725 meV/atom
# * SG: I-4m2, No. 119

---

# GGA-PBE Pr2Nd4HoMg, optimized geometry
data_Pr2Nd4HoMg
_cell_length_a 5.090
_cell_length_b 5.090
_cell_length_c 10.297
_cell_angle_alpha 90.00
_cell_angle_beta 90.00
_cell_angle_gamma 90.00
_symmetry_space_group_name_H-M 'P 1'
_symmetry_Int_Tables_number 1
loop_
_symmetry_equiv_pos_as_xyz
'x,y,z'
loop_
_atom_site_label
_atom_site_fract_x
_atom_site_fract_y
_atom_site_fract_z
Pr1 0.000 0.000 0.000
Pr2 0.500 0.500 0.500
Nd1 0.000 0.500 0.248
Nd2 0.000 0.500 0.752
Nd3 0.500 0.000 0.248
Nd4 0.500 0.000 0.752
Ho1 0.000 0.000 0.500
Mg1 0.500 0.500 0.000
# * formation energy: 0.06 eV per formula unit
# * SG: P4/mmm, No. 123